A:
DFT (PBE-GGA) results for a geometry-optimized Zn2RhF structure.

Cell lengths 4.2855, 4.2855, 4.2855 Å; angles 60.00, 60.00, 60.00 degrees
Fractional positions:
Zn 0.7500 0.7500 0.7500
Zn 0.2500 0.2500 0.2500
Rh 0.5000 0.5000 0.5000
F 0.0000 0.0000 0.0000

- spin magnetization (μB per cell) = 0.0
- ρ (g/cm3) = 7.54
- symmetry = Fm-3m (225)
- crystal system = cubic

=====

B:
DFT (PBE-GGA) results for a geometry-optimized Zn2RhF structure.

Cell lengths 6.2890, 6.2890, 5.3057 Å; angles 53.65, 53.65, 90.00 degrees
Fractional positions:
Rh 0.7500 0.2500 0.5000
Rh 0.0000 0.0000 0.0000
F 0.5000 0.5000 0.0000
F 0.2500 0.7500 0.5000
Zn 0.8750 0.8293 0.7500
Zn 0.5793 0.1250 0.2500
Zn 0.3750 0.4207 0.7500
Zn 0.1707 0.6250 0.2500

- spin magnetization (μB per cell) = 0.0
- ρ (g/cm3) = 7.33
- symmetry = I-42d (122)
- crystal system = tetragonal

=====

Quick one: least stable of them? A